Record 1
## HfAlPd2N (PBE-GGA)

Data for an optimized crystal structure of HfAlPd2N.

abc: 4.564 4.564 3.645
angles: 90.00 90.00 90.00
Positions (direct):
Hf1 0.000 0.000 0.000
Al1 0.500 0.500 0.000
Pd1 0.000 0.500 0.500
Pd2 0.500 0.000 0.500
N1 0.500 0.500 0.500

space group = P4/mmm
ΔE_f (raw) = -11 kJ/mol of atoms

***

Record 2
## KW2Br (PBE-GGA)

Data for an optimized crystal structure of KW2Br.

abc: 2.847 2.847 10.404
angles: 90.00 90.00 90.00
Positions (direct):
K1 0.000 0.000 0.000
W1 0.500 0.500 0.295
W2 0.500 0.500 0.705
Br1 0.000 0.000 0.500

space group = P4/mmm
ΔE_f (raw) = 168 kJ/mol of atoms

***

Record 3
## CaCdCo2 (PBE-GGA)

Data for an optimized crystal structure of CaCdCo2.

abc: 3.468 3.468 6.274
angles: 90.00 90.00 90.00
Positions (direct):
Ca1 0.000 0.000 0.000
Cd1 0.000 0.000 0.500
Co1 0.500 0.500 0.317
Co2 0.500 0.500 0.683

energy of formation from the pure elements = 0.371 eV/atom
space group = P4/mmm

***

Record 4
## SiSnPRu2 (PBE-GGA)

Data for an optimized crystal structure of SiSnPRu2.

abc: 4.476 4.476 4.340
angles: 90.00 90.00 90.00
Positions (direct):
Si1 0.000 0.000 0.000
Sn1 0.500 0.500 0.000
P1 0.000 0.000 0.500
Ru1 0.000 0.500 0.500
Ru2 0.500 0.000 0.500

space group = P4/mmm
ΔE_f (raw) = 49 kJ/mol of atoms

***

Record 5
## SrAsIO2 (PBE-GGA)

Data for an optimized crystal structure of SrAsIO2.

abc: 4.353 4.353 5.442
angles: 90.00 90.00 90.00
Positions (direct):
Sr1 0.000 0.000 0.000
As1 0.500 0.500 0.500
I1 0.500 0.500 0.000
O1 0.000 0.500 0.500
O2 0.500 0.000 0.500

space group = P4/mmm
ΔE_f (raw) = -77 kJ/mol of atoms

***

Record 6
## BaY (PBE-GGA)

Data for an optimized crystal structure of BaY.

abc: 7.698 7.698 6.080
angles: 90.00 90.00 151.06
Positions (direct):
Ba1 0.172 0.828 0.750
Ba2 0.828 0.172 0.250
Y1 0.445 0.555 0.750
Y2 0.555 0.445 0.250

energy of formation from the pure elements = 0.272 eV/atom
space group = Cmcm

***

Record 7
## Tc2IrSe (PBE-GGA)

Data for an optimized crystal structure of Tc2IrSe.

abc: 8.536 8.536 8.536
angles: 19.31 19.31 19.31
Positions (direct):
Tc1 0.247 0.247 0.247
Tc2 0.753 0.753 0.753
Ir1 0.000 0.000 0.000
Se1 0.500 0.500 0.500

space group = R-3m
ΔE_f (raw) = 16 kJ/mol of atoms

***

Record 8
## KNb3As (PBE-GGA)

Data for an optimized crystal structure of KNb3As.

abc: 4.669 4.669 4.669
angles: 90.00 90.00 90.00
Positions (direct):
K1 0.000 0.000 0.000
Nb1 0.000 0.000 0.500
Nb2 0.000 0.500 0.000
Nb3 0.500 0.000 0.000
As1 0.500 0.500 0.500

energy of formation from the pure elements = 2.551 eV/atom
space group = Pm-3m

***

no.,D(E_F) (states/eV per atom),total magnetic moment (μB/f.u.),theoretical density (g/cm³)
1,0.645,0.00,9.45
2,1.141,0.00,9.58
3,0.971,2.77,5.95
4,0.800,0.00,7.26
5,0.063,0.00,5.17
6,1.897,0.06,4.31
7,0.937,0.00,13.04
8,0.938,0.00,6.41